An optimized crystal structure of TbSi4Pt12. Source: Alexandria via LeMat-Bulk, functional PBE-GGA.

The structure in POSCAR format:
```
TbSi4Pt12
1.0
-4.200 4.200 4.200
4.200 -4.200 4.200
4.200 4.200 -4.200
Tb Si Pt
1 4 12
direct
0.000 0.000 0.000 Tb
0.000 0.000 0.500 Si
0.000 0.500 0.000 Si
0.500 0.000 0.000 Si
0.500 0.500 0.500 Si
0.161 0.501 0.340 Pt
0.161 0.822 0.660 Pt
0.178 0.340 0.839 Pt
0.340 0.161 0.501 Pt
0.340 0.839 0.178 Pt
0.499 0.660 0.839 Pt
0.501 0.340 0.161 Pt
0.660 0.161 0.822 Pt
0.660 0.839 0.499 Pt
0.822 0.660 0.161 Pt
0.839 0.178 0.340 Pt
0.839 0.499 0.660 Pt
```

Output
- raw total energy (eV per atom) = -6.289
- volume (Å³ per atom) = 17.44


An optimized crystal structure of TbSiPt. Source: Alexandria via LeMat-Bulk, functional PBE-GGA.

The structure in POSCAR format:
```
TbSiPt
1.0
7.052 0.000 0.000
0.000 4.306 0.000
0.000 0.000 7.478
Tb Si Pt
4 4 4
direct
0.004 0.250 0.200 Tb
0.496 0.750 0.700 Tb
0.504 0.250 0.300 Tb
0.996 0.750 0.800 Tb
0.186 0.250 0.587 Si
0.314 0.750 0.087 Si
0.686 0.250 0.913 Si
0.814 0.750 0.413 Si
0.199 0.750 0.414 Pt
0.301 0.250 0.914 Pt
0.699 0.750 0.086 Pt
0.801 0.250 0.586 Pt
```

Output
- raw total energy (eV per atom) = -6.557
- volume (Å³ per atom) = 18.93


| no. | ΔE_f (raw) (eV/atom) | density (Mg/m³) |
| --- | --- | --- |
| 1 | -0.476 | 14.63 |
| 2 | -1.192 | 11.17 |